--- one ---
The following is a DFT calculation (PBE-GGA) of a geometry-optimized Rb2C structure.

Cell: 7.898 7.898 7.239 Å, 90.00 90.00 120.00°
Last column: magnetic moment on the atom in μB.
Fractional coordinates of all 9 atoms:
Rb  0.335  0.335  0.737  0.02
Rb  0.665  0.000  0.737  0.02
Rb  0.000  0.665  0.737  0.02
Rb  0.000  0.335  0.263  0.02
Rb  0.335  0.000  0.263  0.02
Rb  0.665  0.665  0.263  0.02
C  0.000  0.000  0.000  0.95
C  0.333  0.667  0.500  0.97
C  0.667  0.333  0.500  0.97

Properties
space-group type = P-31m


--- two ---
The following is a DFT calculation (PBE-GGA) of a geometry-optimized Rb2C structure.

Cell: 7.436 7.436 4.767 Å, 90.00 90.00 90.00°
Last column: magnetic moment on the atom in μB.
Fractional coordinates of all 6 atoms:
Rb  0.695  0.305  0.000  0.02
Rb  0.305  0.695  0.000  0.02
Rb  0.805  0.805  0.500  0.02
Rb  0.195  0.195  0.500  0.02
C  0.000  0.000  0.000  0.96
C  0.500  0.500  0.500  0.96

Properties
space-group type = P4_2/mnm


Stability comparison, relative energies in eV/atom: one 0.014; two 0.000